VASP calculation (SCAN) on KZnAu2 at its PBEsol-relaxed geometry.

a b c (Å): 4.5462 4.5462 6.3370
angles (deg): 89.95 111.00 120.11
Fractional coordinates of all 4 atoms:
Zn  0.5000  0.0000  0.5000
Au  0.8740  0.6869  0.5609
Au  0.1260  0.3131  0.4391
K  0.5000  0.5000  0.0000

- Space group: C2/m, No. 12
- DFT formation energy: -0.36 eV/atom

---

VASP calculation (SCAN) on UC2 at its PBEsol-relaxed geometry.

a b c (Å): 3.4608 3.8385 3.4608
angles (deg): 63.20 90.00 116.80
Fractional coordinates of all 3 atoms:
C  0.6170  0.2341  0.3830
C  0.3830  0.7659  0.6170
U  0.0000  0.0000  0.0000

- Space group: I4/mmm, No. 139
- DFT formation energy: -0.04 eV/atom

---

VASP calculation (SCAN) on Ge2Se2Br at its PBEsol-relaxed geometry.

a b c (Å): 4.4049 4.4049 6.7844
angles (deg): 108.94 108.94 90.00
Fractional coordinates of all 5 atoms:
Br  0.0000  0.0000  0.0000
Se  0.2500  0.7500  0.5000
Se  0.7500  0.2500  0.5000
Ge  0.6236  0.6236  0.2473
Ge  0.3764  0.3764  0.7527

- Space group: I4/mmm, No. 139

---

VASP calculation (SCAN) on Sb2S4O15 at its PBEsol-relaxed geometry.

a b c (Å): 7.0549 9.2520 17.7945
angles (deg): 100.46 90.00 90.00
Fractional coordinates of all 84 atoms:
O  0.4303  0.5907  0.1853
O  0.4110  0.3410  0.9603
O  0.3978  0.1583  0.6801
O  0.3021  0.9438  0.2409
O  0.6850  0.0591  0.2668
O  0.0697  0.0907  0.6853
O  0.9110  0.1590  0.5397
O  0.4833  0.7752  0.9366
O  0.6979  0.0562  0.7591
O  0.2707  0.6829  0.8094
O  0.4091  0.3510  0.4565
O  0.0207  0.4055  0.0599
O  0.4793  0.9055  0.5599
O  0.2293  0.1829  0.3094
O  0.0167  0.2752  0.4366
O  0.3150  0.9409  0.7332
O  0.8978  0.3417  0.8199
O  0.9833  0.7248  0.5634
O  0.9491  0.7607  0.0630
O  0.2539  0.6769  0.3046
O  0.6143  0.8423  0.8140
O  0.6022  0.8417  0.3199
O  0.1022  0.6583  0.1801
O  0.3857  0.1577  0.1860
O  0.9793  0.5945  0.9401
O  0.9091  0.1490  0.0435
O  0.7461  0.3231  0.6954
O  0.5890  0.6590  0.0397
O  0.0567  0.0886  0.1902
O  0.2594  0.6642  0.0162
O  0.1143  0.6577  0.6860
O  0.2406  0.1642  0.5162
O  0.5909  0.6490  0.5435
O  0.5509  0.2607  0.5630
O  0.1850  0.4409  0.2332
O  0.5567  0.4114  0.3098
O  0.5697  0.4093  0.8147
O  0.7406  0.3358  0.9838
O  0.9268  0.6011  0.4317
O  0.4268  0.8989  0.0683
O  0.5207  0.0945  0.4401
O  0.2461  0.1769  0.8046
O  0.7539  0.8231  0.1954
O  0.0890  0.8410  0.4603
O  0.8021  0.5562  0.2591
O  0.0909  0.8510  0.9565
O  0.4433  0.5886  0.6902
O  0.7594  0.8358  0.4838
O  0.7293  0.3171  0.1906
O  0.9433  0.9114  0.8098
O  0.4491  0.7393  0.4370
O  0.1979  0.4438  0.7409
O  0.5167  0.2248  0.0634
O  0.8857  0.3423  0.3140
O  0.0509  0.2393  0.9370
O  0.0732  0.3989  0.5683
O  0.5732  0.1011  0.9317
O  0.9303  0.9093  0.3147
O  0.7707  0.8171  0.6906
O  0.8150  0.5591  0.7668
S  0.7348  0.4095  0.2715
S  0.2510  0.5883  0.2227
S  0.7652  0.9095  0.7715
S  0.7490  0.4117  0.7773
S  0.0456  0.2598  0.5173
S  0.5529  0.7766  0.5097
S  0.2652  0.5905  0.7285
S  0.2348  0.0905  0.2285
S  0.4544  0.7598  0.0173
S  0.9471  0.2766  0.0097
S  0.4471  0.2234  0.4903
S  0.0529  0.7234  0.9903
S  0.5456  0.2402  0.9827
S  0.9544  0.7402  0.4827
S  0.7510  0.9117  0.2773
S  0.2490  0.0883  0.7227
Sb  0.6757  0.1115  0.6416
Sb  0.3243  0.8885  0.3584
Sb  0.1757  0.3885  0.8584
Sb  0.8431  0.6013  0.6439
Sb  0.1569  0.3987  0.3561
Sb  0.8243  0.6115  0.1416
Sb  0.6569  0.1013  0.1439
Sb  0.3431  0.8987  0.8561

- Space group: P2_1/c, No. 14

---

VASP calculation (SCAN) on Sc2AlCu at its PBEsol-relaxed geometry.

a b c (Å): 3.1767 4.6469 5.6317
angles (deg): 114.47 106.38 90.00
Fractional coordinates of all 4 atoms:
Sc  0.7568  0.2569  0.5136
Sc  0.9719  0.9718  0.9438
Al  0.5381  0.5384  0.0762
Cu  0.2332  0.7329  0.4664

- Space group: Cm, No. 8
- DFT formation energy: -0.34 eV/atom

---

VASP calculation (SCAN) on CrAg3Cl at its PBEsol-relaxed geometry.

a b c (Å): 4.9493 4.9493 4.9493
angles (deg): 90.00 90.00 90.00
Fractional coordinates of all 5 atoms:
Ag  0.0000  0.5000  0.0000
Ag  0.5000  0.0000  0.0000
Ag  0.0000  0.0000  0.5000
Cr  0.0000  0.0000  0.0000
Cl  0.5000  0.5000  0.5000

- Space group: Pm-3m, No. 221

---

In μB per cell, the spin magnetization values for the records above are, in order, 0.0, 0.4, 0.0, 0.0, 0.8, 5.2.
In eV/f.u., the VASP energy values for the records above are, in order, -161.58, -123.84, -98.00, -236.65, -52.80, -116.16.